Entry 1:
{"formula": "CdTc2Mo", "functional": "PBE", "state": "relaxed", "lattice": [[4.999, 0.000, 0.000], [1.928, 4.612, 0.000], [-3.464, -2.306, 2.771]], "species": ["Tc", "Tc", "Mo", "Cd"], "fractional_positions": [[0.000, 0.000, 0.000], [0.250, 0.750, 0.500], [0.750, 0.250, 0.500], [0.500, 0.500, 0.000]], "sg": "I-4m2 (119)"}

Entry 2:
{"formula": "SmDy6Ho2Er3", "functional": "PBE", "state": "relaxed", "lattice": [[6.120, 0.002, 0.011], [-3.057, 5.302, 0.011], [-1.035, -1.793, 11.532]], "species": ["Er", "Er", "Er", "Sm", "Dy", "Dy", "Dy", "Dy", "Dy", "Dy", "Ho", "Ho"], "fractional_positions": [[0.833, 0.167, 0.500], [0.167, 0.833, 0.500], [0.500, 0.500, 0.500], [0.000, 0.000, 0.000], [0.582, 0.916, 0.748], [0.916, 0.582, 0.748], [0.084, 0.418, 0.252], [0.418, 0.084, 0.252], [0.751, 0.751, 0.251], [0.249, 0.249, 0.749], [0.333, 0.667, 0.000], [0.667, 0.333, 0.000]], "sg": "C2/m (12)"}

How do the records compare in energy of formation? In the order shown, they have 459, 18 meV/atom.
How do the records compare in size of the total moment? In the order shown, they have 0.00, 0.00 μB/f.u..